Here is a relaxed Re3MoRh crystal from the Alexandria database. Energies are from PBE.

It has space group Pm-3m (No. 221), with a = 4.627 Å, b = 4.627 Å, c = 4.627 Å, α = 90.00°, β = 90.00° and γ = 90.00°. The asymmetric unit holds Re at (0.000, 0.000, 0.500), Mo at (0.000, 0.000, 0.000) and Rh at (0.500, 0.500, 0.500).

The value obtained for the total energy is -8.82 eV/atom. As for the density of states at the Fermi level: 1.108 states/eV per atom. The mass density comes out at 12.7 g/cm3. The calculation puts the magnetization at 0.00 μB/f.u.

***

Here is a relaxed DyB3H12 crystal from the Alexandria database. Energies are from PBE.

It has space group R-3c (No. 167, hexagonal axes), with a = 7.7224 Å, b = 7.7224 Å, c = 19.0051 Å, α = 90.00°, β = 90.00° and γ = 120.00°. The asymmetric unit holds Dy at (0.0000, 0.0000, 0.0000), B at (0.0000, 0.4973, 0.2500), H at (0.0030, 0.1910, 0.9064) and H at (0.0182, 0.4176, 0.6982).

The value obtained for the total energy is -4.38 eV/atom. As for the density of states at the Fermi level: 0.000 states/eV per atom. The mass density comes out at 2.1 g/cm3. The calculation puts the magnetization at 0.00 μB/f.u.

***

Here is a relaxed Nd3ErIn3 crystal from the Alexandria database. Energies are from PBE.

It has space group P6_3/m (No. 176), with a = 9.5580 Å, b = 9.5580 Å, c = 5.2524 Å, α = 90.00°, β = 90.00° and γ = 120.00°. The asymmetric unit holds Nd at (0.0037, 0.7635, 0.2500), Er at (0.3333, 0.6667, 0.2500) and In at (0.0760, 0.6147, 0.7500).

As for the density of states at the Fermi level: 0.929 states/eV per atom. The mass density comes out at 7.5 g/cm3. The calculation puts the magnetization at 0.00 μB/f.u. The excess energy over the best structure of this formula in the dataset is 0.034 eV/atom.